# 1
Here is a crystal of EuNi2Sb2 relaxed with PBEsol from Alexandria. Energies are from meta-GGA SCAN.

Cell: 4.3192 4.3192 10.6248 Å, 90.00 90.00 90.00°
Space group I4/mmm (No. 139)
One atom of each set of equivalent atoms:
Eu: 0.0000 0.0000 0.0000
Ni: 0.0000 0.5000 0.2500
Sb: 0.0000 0.0000 0.3638

Properties
- DFT total energy: -32.71 eV per atom
- Formation energy (no corrections): -0.593 eV per atom

# 2
Here is a crystal of Tl5Au4 relaxed with PBEsol from Alexandria. Energies are from meta-GGA SCAN.

Cell: 8.7516 8.7516 6.2020 Å, 90.00 90.00 120.00°
Space group P6_3/mcm (No. 193)
One atom of each set of equivalent atoms:
Tl: 0.0000 0.2868 0.2500
Tl: 0.3333 0.6667 0.0000
Au: 0.0000 0.0000 0.0000
Au: 0.0000 0.3740 0.7500

Properties
- Energy relative to the elements: 49 meV/atom
- DFT total energy: -70.89 eV per atom

# 3
Here is a crystal of AlPtRh2 relaxed with PBEsol from Alexandria. Energies are from meta-GGA SCAN.

Cell: 8.9896 2.7467 4.6048 Å, 90.00 103.43 90.00°
Space group C2/m (No. 12)
One atom of each set of equivalent atoms:
Al: 0.0000 0.0000 0.0000
Pt: 0.0000 0.5000 0.5000
Rh: 0.2378 0.5000 0.2442

Properties
- Energy relative to the elements: -627 meV/atom
- DFT total energy: -37.00 eV per atom

# 4
Here is a crystal of NaGe2H relaxed with PBEsol from Alexandria. Energies are from meta-GGA SCAN.

Cell: 5.1822 5.1822 11.7311 Å, 90.00 90.00 90.00°
Space group I4_1/amd (No. 141, origin choice 2)
One atom of each set of equivalent atoms:
Na: 0.0000 0.2500 0.3750
Ge: 0.0000 0.0000 0.0000
H: 0.0000 0.2500 0.8750

Properties
- DFT total energy: -11.12 eV per atom

# 5
Here is a crystal of Mg2TlIn relaxed with PBEsol from Alexandria. Energies are from meta-GGA SCAN.

Cell: 3.4320 4.4710 6.1701 Å, 90.00 90.00 90.00°
Space group Pmm2 (No. 25)
One atom of each set of equivalent atoms:
Mg: 0.0000 0.0000 0.0000
Mg: 0.5000 0.5000 0.2687
Tl: 0.0000 0.0000 0.4962
In: 0.5000 0.5000 0.7795

Properties
- Energy relative to the elements: -92 meV/atom
- DFT total energy: -29.01 eV per atom

# 6
Here is a crystal of HfNb2ZnPd relaxed with PBEsol from Alexandria. Energies are from meta-GGA SCAN.

Cell: 4.6722 4.6722 4.4835 Å, 90.00 90.00 90.00°
Space group P4/mmm (No. 123)
One atom of each set of equivalent atoms:
Hf: 0.0000 0.0000 0.0000
Nb: 0.0000 0.5000 0.5000
Zn: 0.5000 0.5000 0.5000
Pd: 0.5000 0.5000 0.0000

Properties
- Energy relative to the elements: 796 meV/atom
- DFT total energy: -34.25 eV per atom

# 7
Here is a crystal of Be3FeI relaxed with PBEsol from Alexandria. Energies are from meta-GGA SCAN.

Cell: 4.1747 4.1747 4.1747 Å, 90.00 90.00 90.00°
Space group Pm-3m (No. 221)
One atom of each set of equivalent atoms:
Be: 0.0000 0.0000 0.5000
Fe: 0.0000 0.0000 0.0000
I: 0.5000 0.5000 0.5000

Properties
- DFT total energy: -12.49 eV per atom
- Formation energy (no corrections): 1.098 eV per atom

# 8
Here is a crystal of CoHg2As relaxed with PBEsol from Alexandria. Energies are from meta-GGA SCAN.

Cell: 3.1349 3.1349 25.9167 Å, 90.00 90.00 120.00°
Space group R3m (No. 160, hexagonal axes)
One atom of each set of equivalent atoms:
Co: 0.0000 0.0000 0.0000
Hg: 0.0000 0.0000 0.5113
Hg: 0.0000 0.0000 0.7441
As: 0.0000 0.0000 0.2804

Properties
- Energy relative to the elements: 132 meV/atom
- DFT total energy: -43.33 eV per atom

# 9
Here is a crystal of KCa2Y relaxed with PBEsol from Alexandria. Energies are from meta-GGA SCAN.

Cell: 3.7883 3.7883 39.8003 Å, 90.00 90.00 120.00°
Space group R-3m (No. 166, hexagonal axes)
One atom of each set of equivalent atoms:
K: 0.0000 0.0000 0.0000
Ca: 0.0000 0.0000 0.2404
Y: 0.0000 0.0000 0.5000

Properties
- Energy relative to the elements: 159 meV/atom
- DFT total energy: -13.72 eV per atom
- Offset from the most stable computed form: 0.0 meV per atom

# 10
Here is a crystal of Ni2Pt7 relaxed with PBEsol from Alexandria. Energies are from meta-GGA SCAN.

Cell: 4.7125 4.7125 6.6284 Å, 90.00 90.00 120.00°
Space group P-31m (No. 162)
One atom of each set of equivalent atoms:
Ni: 0.3333 0.6667 0.0000
Pt: 0.0000 0.0000 0.0000
Pt: 0.0000 0.3373 0.3235

Properties
- Energy relative to the elements: -125 meV/atom
- DFT total energy: -58.31 eV per atom

# 11
Here is a crystal of KMnRu relaxed with PBEsol from Alexandria. Energies are from meta-GGA SCAN.

Cell: 6.3034 6.3034 6.3034 Å, 90.00 90.00 90.00°
Space group F-43m (No. 216)
One atom of each set of equivalent atoms:
K: 0.0000 0.0000 0.0000
Mn: 0.0000 0.0000 0.5000
Ru: 0.2500 0.2500 0.7500

Properties
- Energy relative to the elements: 1375 meV/atom
- DFT total energy: -19.10 eV per atom

# 12
Here is a crystal of La2MgTcIr relaxed with PBEsol from Alexandria. Energies are from meta-GGA SCAN.

Cell: 5.4415 5.4415 4.4127 Å, 90.00 90.00 90.00°
Space group P4/mmm (No. 123)
One atom of each set of equivalent atoms:
La: 0.0000 0.5000 0.0000
Mg: 0.0000 0.0000 0.0000
Tc: 0.0000 0.0000 0.5000
Ir: 0.5000 0.5000 0.5000

Properties
- Energy relative to the elements: 1227 meV/atom
- DFT total energy: -38.24 eV per atom

# 13
Here is a crystal of Cr4AgBr relaxed with PBEsol from Alexandria. Energies are from meta-GGA SCAN.

Cell: 6.8982 6.8982 6.8982 Å, 90.00 90.00 90.00°
Space group F-43m (No. 216)
One atom of each set of equivalent atoms:
Cr: 0.1214 0.1214 0.1214
Ag: 0.2500 0.2500 0.7500
Br: 0.0000 0.0000 0.5000

Properties
- DFT total energy: -19.68 eV per atom
- Formation energy (no corrections): 1.051 eV per atom

# 14
Here is a crystal of HoB7Mo3 relaxed with PBEsol from Alexandria. Energies are from meta-GGA SCAN.

Cell: 10.9707 3.0827 12.7130 Å, 90.00 90.00 90.00°
Space group Pnma (No. 62)
One atom of each set of equivalent atoms:
Ho: 0.0525 0.2500 0.1922
B: 0.0108 0.7500 0.3626
B: 0.0374 0.7500 0.0181
B: 0.0675 0.7500 0.6159
B: 0.1666 0.7500 0.3330
B: 0.1863 0.7500 0.0672
B: 0.2304 0.7500 0.5821
B: 0.2489 0.7500 0.8264
Mo: 0.1180 0.2500 0.4732
Mo: 0.1595 0.2500 0.9360
Mo: 0.1837 0.2500 0.7025

Properties
- Energy relative to the elements: -579 meV/atom
- DFT total energy: -19.27 eV per atom

# 15
Here is a crystal of CsPO3 relaxed with PBEsol from Alexandria. Energies are from meta-GGA SCAN.

Cell: 6.7757 4.3294 13.7133 Å, 90.00 113.73 90.00°
Space group P2_1/c (No. 14)
One atom of each set of equivalent atoms:
Cs: 0.1854 0.1334 0.4090
P: 0.3662 0.5062 0.6813
O: 0.1626 0.1356 0.1787
O: 0.3724 0.6498 0.5833
O: 0.4389 0.7455 0.2786

Properties
- DFT total energy: -15.89 eV per atom
- Formation energy (no corrections): -2.513 eV per atom

# 16
Here is a crystal of CaTaPb2 relaxed with PBEsol from Alexandria. Energies are from meta-GGA SCAN.

Cell: 3.1714 3.1714 10.1274 Å, 90.00 90.00 90.00°
Space group P4mm (No. 99)
One atom of each set of equivalent atoms:
Ca: 0.0000 0.0000 0.0000
Ta: 0.5000 0.5000 0.2332
Pb: 0.0000 0.0000 0.4525
Pb: 0.5000 0.5000 0.7363

Properties
- Energy relative to the elements: 393 meV/atom
- DFT total energy: -56.56 eV per atom

# 17
Here is a crystal of SiP2Rh relaxed with PBEsol from Alexandria. Energies are from meta-GGA SCAN.

Cell: 5.2039 5.2039 10.4301 Å, 90.00 90.00 90.00°
Space group I-42d (No. 122)
One atom of each set of equivalent atoms:
Si: 0.0000 0.0000 0.0000
P: 0.2471 0.2500 0.6250
Rh: 0.0000 0.0000 0.5000

Properties
- DFT total energy: -16.50 eV per atom
- Formation energy (no corrections): -0.358 eV per atom

# 18
Here is a crystal of Bi3TeOs relaxed with PBEsol from Alexandria. Energies are from meta-GGA SCAN.

Cell: 5.2769 5.2769 5.2769 Å, 90.00 90.00 90.00°
Space group Pm-3m (No. 221)
One atom of each set of equivalent atoms:
Bi: 0.0000 0.0000 0.5000
Te: 0.5000 0.5000 0.5000
Os: 0.0000 0.0000 0.0000

Properties
- DFT total energy: -68.31 eV per atom
- Formation energy (no corrections): 0.667 eV per atom

# 19
Here is a crystal of Cd4HgAu relaxed with PBEsol from Alexandria. Energies are from meta-GGA SCAN.

Cell: 7.9087 7.9087 7.9087 Å, 90.00 90.00 90.00°
Space group F-43m (No. 216)
One atom of each set of equivalent atoms:
Cd: 0.1253 0.1253 0.1253
Hg: 0.2500 0.2500 0.7500
Au: 0.0000 0.0000 0.5000

Properties
- Energy relative to the elements: 117 meV/atom
- DFT total energy: -43.05 eV per atom

# 20
Here is a crystal of TlRe2Os relaxed with PBEsol from Alexandria. Energies are from meta-GGA SCAN.

Cell: 3.8463 3.8463 8.5075 Å, 90.00 90.00 90.00°
Space group I4/mmm (No. 139)
One atom of each set of equivalent atoms:
Tl: 0.0000 0.0000 0.0000
Re: 0.0000 0.5000 0.2500
Os: 0.0000 0.0000 0.5000

Properties
- Energy relative to the elements: 980 meV/atom
- DFT total energy: -70.63 eV per atom
- Offset from the most stable computed form: 368.1 meV per atom